1.
Density functional theory data (GGA-PBE) for a geometry-optimized Zr2TaIr structure.

Values from the calculation:
D(E_F) = 4.23 states/eV per cell
volume = 75.2 Å³ per cell
energy of formation from the pure elements = -227 meV/atom
total magnetization = 0.00 μB/cell
excess energy over the best structure of this formula in the dataset = 159 meV/atom

Unit cell a=3.0083 b=4.6477 c=5.5047 alpha=90.00 beta=102.17 gamma=90.00
Last column: nearest neighbours and their distance in Å.
Sites, in units of the cell vectors:
Zr (0.2371, 0.0000, 0.2556)  4 Zr 2.82-3.01, 2 Ir 2.85, 2 Ta 2.91
Zr (0.7629, 0.0000, 0.7444)  4 Zr 2.82-3.01, 2 Ir 2.85, 2 Ta 2.91
Ta (0.5000, 0.5000, 0.0000)  2 Ir 2.84, 4 Zr 2.91, 2 Ta 3.01
Ir (0.0000, 0.5000, 0.5000)  2 Ta 2.84, 4 Zr 2.85, 2 Ir 3.01

2.
Density functional theory data (GGA-PBE) for a geometry-optimized NaSr2CaAg structure.

Values from the calculation:
D(E_F) = 3.12 states/eV per cell
volume = 228.2 Å³ per cell
energy of formation from the pure elements = -62 meV/atom
total magnetization = 0.00 μB/cell
excess energy over the best structure of this formula in the dataset = 0 meV/atom

Unit cell a=6.2096 b=6.2096 c=5.9170 alpha=90.00 beta=90.00 gamma=90.00
Last column: nearest neighbours and their distance in Å.
Sites, in units of the cell vectors:
Na (0.0000, 0.0000, 0.0000)  8 Sr 4.29, 4 Ca 4.39
Sr (0.0000, 0.5000, 0.5000)  2 Ag 3.10
Sr (0.5000, 0.0000, 0.5000)  2 Ag 3.10
Ca (0.5000, 0.5000, 0.0000)  2 Ag 2.96
Ag (0.5000, 0.5000, 0.5000)  2 Ca 2.96, 4 Sr 3.10

3.
Density functional theory data (GGA-PBE) for a geometry-optimized Pm7C2N2 structure.

Values from the calculation:
D(E_F) = 10.00 states/eV per cell
volume = 277.6 Å³ per cell
ΔE_f (raw) = -0.3300 eV/atom
total magnetization = 0.00 μB/cell

Unit cell a=6.8443 b=6.8443 c=6.5745 alpha=93.45 beta=93.45 gamma=114.89
Last column: nearest neighbours and their distance in Å.
Sites, in units of the cell vectors:
Pm (0.0000, 0.0000, 0.0000)  2 N 2.40
Pm (0.0435, 0.4077, 0.7077)  1 N 2.38, 1 C 2.57
Pm (0.4073, 0.4073, 0.2439)  2 N 2.41-2.52, 2 C 2.60
Pm (0.4077, 0.0435, 0.7077)  1 N 2.38, 1 C 2.57
Pm (0.5923, 0.9565, 0.2923)  1 N 2.38, 1 C 2.57
Pm (0.5927, 0.5927, 0.7561)  2 N 2.41-2.52, 2 C 2.60
Pm (0.9565, 0.5923, 0.2923)  1 N 2.38, 1 C 2.57
C (0.3332, 0.6668, 0.5000)  6 Pm 2.57-2.68
C (0.6668, 0.3332, 0.5000)  6 Pm 2.57-2.68
N (0.2917, 0.2917, 0.8684)  5 Pm 2.38-2.52
N (0.7083, 0.7083, 0.1316)  5 Pm 2.38-2.52

4.
Density functional theory data (GGA-PBE) for a geometry-optimized Re2IrW structure.

Values from the calculation:
D(E_F) = 3.43 states/eV per cell
volume = 60.4 Å³ per cell
energy of formation from the pure elements = -81 meV/atom
total magnetization = 0.00 μB/cell
excess energy over the best structure of this formula in the dataset = 15 meV/atom

Unit cell a=4.8099 b=4.8099 c=4.8099 alpha=131.89 beta=131.89 gamma=70.40
Last column: nearest neighbours and their distance in Å.
Sites, in units of the cell vectors:
Re (0.0000, 0.0000, 0.0000)  4 Ir 2.77, 4 Re 2.78, 4 W 2.78
Re (0.7500, 0.2500, 0.5000)  4 W 2.77, 4 Re 2.78, 4 Ir 2.78
Ir (0.5000, 0.5000, 0.0000)  8 Re 2.77-2.78, 4 W 2.78
W (0.2500, 0.7500, 0.5000)  8 Re 2.77-2.78, 4 Ir 2.78